Here is TaNbV2O6 after structural relaxation from Alexandria. Energies are from PBE+U.

Unit cell a=5.2642 b=5.2631 c=5.7731 alpha=62.82 beta=62.82 gamma=59.98
Last column: nearest neighbours and their distance in Å.
Atoms (fractional coordinates):
Ta 0.3213 0.3212 0.0362  6 O 1.99-2.09
Nb 0.8218 0.8221 0.5343  6 O 2.09-2.19
O 0.1004 0.4324 0.7610  1 Nb 2.09, 1 Ta 2.09, 2 V 2.15-2.17
O 0.7070 0.1006 0.7605  1 Nb 2.09, 1 Ta 2.09, 2 V 2.15-2.17
O 0.4321 0.7071 0.7599  1 Nb 2.09, 1 Ta 2.09, 2 V 2.15-2.17
O 0.2233 0.9424 0.2463  1 Ta 1.99, 2 V 2.17-2.18, 1 Nb 2.19
O 0.5874 0.2233 0.2465  1 Ta 1.99, 2 V 2.16-2.18, 1 Nb 2.19
O 0.9429 0.5873 0.2470  1 Ta 1.99, 2 V 2.17-2.18, 1 Nb 2.19
V 0.5132 0.5128 0.4606  6 O 2.16-2.17
V 0.0122 0.0124 0.9629  6 O 2.15-2.18

## Properties
Crystal system ... trigonal
Spin magnetization ... 4.00 μB/cell
Electronic total energy ... -88.3 eV per cell
SG ... R3, No. 146